Entry 1:
Entry from Alexandria: a relaxed structure of SbH2Se (GGA-PBE).

Lattice parameters (Å, degrees): 3.6367 3.6463 7.1273 78.69 79.00 89.39
Closest atoms and distances in Å follow each position.
Space group P1 (No. 1)
Symmetry-distinct sites (fractional):
Sb 0.0000 0.0000 0.0000 x1  4 Se 2.82-2.84
H 0.2544 0.2522 0.3862 x1  1 H 0.75
H 0.3538 0.3494 0.4470 x1  1 H 0.75
Se 0.5628 0.5642 0.8293 x1  4 Sb 2.82-2.84

- excess energy over the best structure of this formula in the dataset (meV per atom) = 0


Entry 2:
Entry from Alexandria: a relaxed structure of SbH2Se3 (GGA-PBE).

Lattice parameters (Å, degrees): 13.7027 8.2949 5.6180 90.00 90.00 90.00
Closest atoms and distances in Å follow each position.
Space group Cmc2_1 (No. 36)
Symmetry-distinct sites (fractional):
Sb 0.0000 0.1562 0.0000 x4  4 Se 2.63-2.80
H 0.1373 0.4348 0.8391 x8  1 Se 1.51
Se 0.0000 0.1804 0.5271 x4  3 Sb 2.66-2.97
Se 0.1569 0.3348 0.0590 x8  1 H 1.51


Here are the calculated V numbers, same order: 90.94 638.56 (Å³/cell).
Here are the calculated DFT total energy numbers, same order: -14.22 -84.58 (eV/cell).
Here are the calculated theoretical density numbers, same order: 3.702 3.751 (g cm⁻³).